#1
KAgP2: relaxed, PBE.

Output
Crystal system: monoclinic

Cell: 5.4399 5.4399 5.9340 Å, 94.41 94.41 36.62°
Fractional coordinates of all 4 atoms:
1 P 0.5186 0.5186 0.6312
2 P 0.9814 0.9814 0.8688
3 Ag 0.7500 0.7500 0.7500
4 K 0.2500 0.2500 0.2500

---

#2
KAgP2: relaxed, PBE.

Output
DOS at the Fermi energy in states/eV/atom: 0.655
Crystal system: orthorhombic

Cell: 4.2863 4.2618 4.4693 Å, 90.00 90.00 90.00°
Fractional coordinates of all 4 atoms:
1 K 0.0000 0.5000 0.5000
2 P 0.5000 0.5000 0.0000
3 P 0.0000 0.0000 0.0000
4 Ag 0.5000 0.0000 0.5000

---

#3
KAgP2: relaxed, PBE.

Output
DOS at the Fermi energy in states/eV/atom: 0.496
Crystal system: tetragonal

Cell: 5.3015 5.3015 5.3015 Å, 130.96 130.96 71.87°
Fractional coordinates of all 4 atoms:
1 P 0.2500 0.7500 0.5000
2 P 0.0000 0.0000 0.0000
3 K 0.7500 0.2500 0.5000
4 Ag 0.5000 0.5000 0.0000

---

#4
KAgP2: relaxed, PBE.

Output
DOS at the Fermi energy in states/eV/atom: 0.224
Crystal system: tetragonal

Cell: 3.2781 3.2781 8.0534 Å, 90.00 90.00 90.00°
Fractional coordinates of all 4 atoms:
1 P 0.5000 0.5000 0.1887
2 P 0.0000 0.0000 0.0893
3 K 0.5000 0.5000 0.7828
4 Ag 0.0000 0.0000 0.4392

---

Stability ranking, top and bottom: #1 is the most stable and #3 is the least stable.

---

#1
KAgP2: relaxed, PBE.

Output
DOS at the Fermi energy in states/eV/atom: 0.014
Crystal system: monoclinic

Cell: 5.9269 5.9269 6.9177 Å, 59.47 59.47 33.29°
Fractional coordinates of all 4 atoms:
1 K 0.3747 0.3747 0.2498
2 Ag 0.3751 0.3751 0.7499
3 P 0.6147 0.6147 0.6530
4 P 0.1354 0.1354 0.8473

---

#2
KAgP2: relaxed, PBE.

Output
DOS at the Fermi energy in states/eV/atom: 0.492
Crystal system: orthorhombic

Cell: 5.3765 5.3765 5.3765 Å, 130.67 104.90 95.23°
Fractional coordinates of all 4 atoms:
1 K 0.2500 0.7500 0.5000
2 P 0.9006 0.9006 0.0000
3 P 0.5994 0.5994 0.0000
4 Ag 0.7500 0.2500 0.5000

---

#3
KAgP2: relaxed, PBE.

Output
DOS at the Fermi energy in states/eV/atom: 0.051
Crystal system: trigonal

Cell: 6.3260 6.3260 6.3260 Å, 41.59 41.59 41.59°
Fractional coordinates of all 4 atoms:
1 P 0.5602 0.5602 0.5602
2 P 0.9398 0.9398 0.9398
3 K 0.7500 0.7500 0.7500
4 Ag 0.2500 0.2500 0.2500

---

Stability ranking, top and bottom: #1 is the most stable and #3 is the least stable.

---

#1
KAgP: relaxed, PBE.

Output
DOS at the Fermi energy in states/eV/atom: 1.030
Crystal system: cubic

Cell: 4.8410 4.8410 4.8410 Å, 60.00 60.00 60.00°
Last column: magnetic moment on the atom in μB.
Fractional coordinates of all 3 atoms:
1 P 0.7500 0.7500 0.7500  0.32
2 K 0.5000 0.5000 0.5000  0.02
3 Ag 0.0000 0.0000 0.0000  0.08

---

#2
KAgP: relaxed, PBE.

Output
Crystal system: monoclinic

Cell: 6.0017 6.0017 6.1116 Å, 93.30 116.01 119.65°
Fractional coordinates of all 6 atoms:
1 P 0.8265 0.9739 0.8004
2 P 0.1735 0.0261 0.1996
3 K 0.2534 0.6356 0.8890
4 K 0.7466 0.3644 0.1110
5 Ag 0.5000 0.5000 0.5000
6 Ag 0.0000 0.0000 0.5000

---

Stability ranking, top and bottom: #2 is the most stable and #1 is the least stable.

---

#1
KAgP: relaxed, PBE.

Output
DOS at the Fermi energy in states/eV/atom: 0.544
Crystal system: hexagonal

Cell: 4.2321 4.2321 5.1436 Å, 90.00 90.00 120.00°
Fractional coordinates of all 3 atoms:
1 P 0.6667 0.3333 0.8333
2 K 0.3333 0.6667 0.3335
3 Ag 0.0000 0.0000 0.8333

---

#2
KAgP: relaxed, PBE.

Output
DOS at the Fermi energy in states/eV/atom: 0.788
Crystal system: cubic

Cell: 5.0563 5.0563 5.0563 Å, 60.00 60.00 60.00°
Last column: magnetic moment on the atom in μB.
Fractional coordinates of all 3 atoms:
1 Ag 0.5000 0.5000 0.5000  -0.01
2 K 0.7500 0.7500 0.7500  0.02
3 P 0.0000 0.0000 0.0000  0.45

---

#3
KAgP: relaxed, PBE.

Output
DOS at the Fermi energy in states/eV/atom: 0.415
Crystal system: tetragonal

Cell: 6.3332 6.3324 3.6543 Å, 73.24 73.22 33.54°
Fractional coordinates of all 3 atoms:
1 Ag 0.0640 0.0640 0.9360
2 K 0.3294 0.3294 0.6706
3 P 0.6066 0.6066 0.3934

---

Stability ranking, top and bottom: #1 is the most stable and #2 is the least stable.

---

#1
KAgP2S: relaxed, PBE.

Output
DOS at the Fermi energy in states/eV/atom: 0.953
Crystal system: tetragonal

Cell: 5.4153 5.4153 5.4095 Å, 90.00 90.00 90.00°
Last column: magnetic moment on the atom in μB.
Fractional coordinates of all 5 atoms:
1 S 0.0000 0.0000 0.5000  -0.09
2 K 0.0000 0.0000 0.0000  0.04
3 Ag 0.5000 0.5000 0.5000  0.00
4 P 0.0000 0.5000 0.0000  0.35
5 P 0.5000 0.0000 0.0000  0.35

---

#2
KAgP2S: relaxed, PBE.

Output
DOS at the Fermi energy in states/eV/atom: 0.644
Crystal system: tetragonal

Cell: 4.8841 4.8841 5.2366 Å, 90.00 90.00 90.00°
Last column: magnetic moment on the atom in μB.
Fractional coordinates of all 5 atoms:
1 Ag 0.0000 0.0000 0.0000  0.03
2 K 0.5000 0.5000 0.5000  0.01
3 S 0.0000 0.0000 0.5000  0.05
4 P 0.5000 0.0000 0.0000  0.25
5 P 0.0000 0.5000 0.0000  0.25

---

Stability ranking, top and bottom: #2 is the most stable and #1 is the least stable.

---

#1
KAgPS2: relaxed, PBE.

Output
DOS at the Fermi energy in states/eV/atom: 1.044
Crystal system: tetragonal

Cell: 5.6962 5.6962 5.9667 Å, 90.00 90.00 90.00°
Last column: magnetic moment on the atom in μB.
Fractional coordinates of all 5 atoms:
1 K 0.0000 0.0000 0.0000  0.06
2 S 0.5000 0.0000 0.0000  0.77
3 S 0.0000 0.5000 0.0000  0.77
4 P 0.0000 0.0000 0.5000  1.07
5 Ag 0.5000 0.5000 0.5000  -0.02

---

#2
KAgPS2: relaxed, PBE.

Output
DOS at the Fermi energy in states/eV/atom: 0.786
Crystal system: tetragonal

Cell: 5.1111 5.1111 4.7394 Å, 90.00 90.00 90.00°
Last column: magnetic moment on the atom in μB.
Fractional coordinates of all 5 atoms:
1 K 0.5000 0.5000 0.5000  0.00
2 P 0.0000 0.0000 0.5000  0.23
3 S 0.5000 0.0000 0.0000  -0.02
4 S 0.0000 0.5000 0.0000  -0.02
5 Ag 0.0000 0.0000 0.0000  0.01

---

Stability ranking, top and bottom: #2 is the most stable and #1 is the least stable.

---

#1
KAg2Pb2: relaxed, PBE.

Output
DOS at the Fermi energy in states/eV/atom: 0.286
Crystal system: tetragonal

Cell: 9.1048 9.1048 3.3117 Å, 90.00 90.00 90.00°
Fractional coordinates of all 10 atoms:
1 Pb 0.8596 0.6404 0.0000
2 Pb 0.6404 0.1404 0.0000
3 Pb 0.3596 0.8596 0.0000
4 Pb 0.1404 0.3596 0.0000
5 Ag 0.8483 0.3483 0.5000
6 Ag 0.1517 0.6517 0.5000
7 Ag 0.6517 0.8483 0.5000
8 Ag 0.3483 0.1517 0.5000
9 K 0.0000 0.0000 0.0000
10 K 0.5000 0.5000 0.0000

---

#2
KAg2Pb2: relaxed, PBE.

Output
DOS at the Fermi energy in states/eV/atom: 0.388
Crystal system: triclinic

Cell: 6.2327 7.0726 8.0203 Å, 82.20 72.11 63.62°
Fractional coordinates of all 10 atoms:
1 Pb 0.5484 0.4029 0.2496
2 Pb 0.8583 0.7843 0.7495
3 Pb 0.1417 0.2157 0.2505
4 Pb 0.4516 0.5971 0.7504
5 Ag 0.5601 0.1878 0.9393
6 Ag 0.7519 0.1884 0.5616
7 Ag 0.2481 0.8116 0.4384
8 Ag 0.4399 0.8122 0.0607
9 K 0.8535 0.7912 0.2507
10 K 0.1465 0.2088 0.7493

---

Stability ranking, top and bottom: #2 is the most stable and #1 is the least stable.

---

#1
K3AgPb: relaxed, PBE.

Output
DOS at the Fermi energy in states/eV/atom: 0.789
Crystal system: cubic

Cell: 6.3170 6.3170 6.3170 Å, 90.00 90.00 90.00°
Last column: magnetic moment on the atom in μB.
Fractional coordinates of all 5 atoms:
1 K 0.0000 0.5000 0.0000  0.01
2 K 0.5000 0.0000 0.0000  0.01
3 K 0.0000 0.0000 0.5000  0.01
4 Ag 0.0000 0.0000 0.0000  0.03
5 Pb 0.5000 0.5000 0.5000  0.49

---

#2
K3AgPb: relaxed, PBE.

Output
DOS at the Fermi energy in states/eV/atom: 0.592
Crystal system: monoclinic

Cell: 8.2307 8.2307 8.5037 Å, 108.03 119.35 100.01°
Fractional coordinates of all 10 atoms:
1 K 0.8323 0.0131 0.2416
2 K 0.1677 0.9869 0.7584
3 K 0.7715 0.5907 0.7584
4 K 0.2728 0.5568 0.8296
5 K 0.2285 0.4093 0.2416
6 K 0.7272 0.4432 0.1704
7 Pb 0.3101 0.9337 0.2438
8 Pb 0.6899 0.0663 0.7562
9 Ag 0.3812 0.2155 0.5967
10 Ag 0.6188 0.7845 0.4033

---

Stability ranking, top and bottom: #2 is the most stable and #1 is the least stable.

---

#1
KAg3Pb: relaxed, PBE.

Output
DOS at the Fermi energy in states/eV/atom: 0.527
Crystal system: cubic

Cell: 5.4997 5.4997 5.4997 Å, 90.00 90.00 90.00°
Fractional coordinates of all 5 atoms:
1 Pb 0.5000 0.5000 0.5000
2 Ag 0.5000 0.0000 0.0000
3 Ag 0.0000 0.5000 0.0000
4 Ag 0.0000 0.0000 0.5000
5 K 0.0000 0.0000 0.0000

---

#2
KAg3Pb: relaxed, PBE.

Output
DOS at the Fermi energy in states/eV/atom: 0.014
Crystal system: cubic

Cell: 5.4664 5.4664 5.4664 Å, 90.00 90.00 90.00°
Fractional coordinates of all 5 atoms:
1 Pb 0.0000 0.0000 0.0000
2 Ag 0.0000 0.5000 0.0000
3 Ag 0.5000 0.0000 0.0000
4 Ag 0.0000 0.0000 0.5000
5 K 0.5000 0.5000 0.5000

---

Stability ranking, top and bottom: #2 is the most stable and #1 is the least stable.

---

#1
K2RbAgPb: relaxed, PBE.

Output
DOS at the Fermi energy in states/eV/atom: 0.565
Crystal system: tetragonal

Cell: 6.8755 6.8755 5.5117 Å, 90.00 90.00 90.00°
Fractional coordinates of all 5 atoms:
1 Rb 0.5000 0.5000 0.5000
2 K 0.0000 0.5000 0.0000
3 K 0.5000 0.0000 0.0000
4 Pb 0.0000 0.0000 0.0000
5 Ag 0.0000 0.0000 0.5000

---

#2
K2RbAgPb: relaxed, PBE.

Output
DOS at the Fermi energy in states/eV/atom: 0.517
Crystal system: tetragonal

Cell: 6.5533 6.5533 5.5274 Å, 90.00 90.00 90.00°
Fractional coordinates of all 5 atoms:
1 K 0.5000 0.0000 0.0000
2 K 0.0000 0.5000 0.0000
3 Rb 0.5000 0.5000 0.5000
4 Pb 0.0000 0.0000 0.5000
5 Ag 0.0000 0.0000 0.0000

---

Stability ranking, top and bottom: #2 is the most stable and #1 is the least stable.

---

#1
KAg3Pd: relaxed, PBE.

Output
DOS at the Fermi energy in states/eV/atom: 0.383
Crystal system: cubic

Cell: 5.2095 5.2095 5.2095 Å, 90.00 90.00 90.00°
Fractional coordinates of all 5 atoms:
1 K 0.5000 0.5000 0.5000
2 Ag 0.5000 0.0000 0.0000
3 Ag 0.0000 0.0000 0.5000
4 Ag 0.0000 0.5000 0.0000
5 Pd 0.0000 0.0000 0.0000

---

#2
KAg3Pd: relaxed, PBE.

Output
DOS at the Fermi energy in states/eV/atom: 0.245
Crystal system: orthorhombic

Cell: 5.4255 6.1125 7.3625 Å, 114.53 90.00 90.00°
Fractional coordinates of all 10 atoms:
1 Ag 0.2500 0.8189 0.6378
2 Ag 0.2500 0.9285 0.3122
3 Ag 0.7500 0.0715 0.6878
4 Ag 0.7500 0.6163 0.6878
5 Ag 0.2500 0.3837 0.3122
6 Ag 0.7500 0.1811 0.3622
7 K 0.2500 0.4141 0.8282
8 K 0.7500 0.5859 0.1718
9 Pd 0.5000 0.0000 0.0000
10 Pd 0.0000 0.0000 0.0000

---

#3
KAg3Pd: relaxed, PBE.

Output
DOS at the Fermi energy in states/eV/atom: 0.360
Crystal system: cubic

Cell: 5.2862 5.2862 5.2862 Å, 90.00 90.00 90.00°
Fractional coordinates of all 5 atoms:
1 Ag 0.5000 0.0000 0.0000
2 Ag 0.0000 0.0000 0.5000
3 Ag 0.0000 0.5000 0.0000
4 K 0.0000 0.0000 0.0000
5 Pd 0.5000 0.5000 0.5000

---

#4
KAg3Pd: relaxed, PBE.

Output
DOS at the Fermi energy in states/eV/atom: 0.312
Crystal system: hexagonal

Cell: 6.7620 6.7620 12.7998 Å, 90.00 90.00 120.00°
Fractional coordinates of all 20 atoms:
1 K 0.0000 0.0000 0.0000
2 K 0.6667 0.3333 0.7500
3 K 0.0000 0.0000 0.5000
4 K 0.3333 0.6667 0.2500
5 Ag 0.5000 0.5000 0.5000
6 Ag 0.5000 0.5000 0.0000
7 Ag 0.1345 0.2690 0.7500
8 Ag 0.2690 0.1345 0.2500
9 Ag 0.5000 0.0000 0.0000
10 Ag 0.0000 0.5000 0.5000
11 Ag 0.5000 0.0000 0.5000
12 Ag 0.8655 0.7310 0.2500
13 Ag 0.8655 0.1345 0.2500
14 Ag 0.1345 0.8655 0.7500
15 Ag 0.0000 0.5000 0.0000
16 Ag 0.7310 0.8655 0.7500
17 Pd 0.6667 0.3333 0.3563
18 Pd 0.6667 0.3333 0.1437
19 Pd 0.3333 0.6667 0.8563
20 Pd 0.3333 0.6667 0.6437

---

Stability ranking, top and bottom: #2 is the most stable and #3 is the least stable.